Below is an optimized crystal structure of CsHg3Pd, with properties calculated at the PBE-GGA level.

Cell and atoms, written as extended XYZ:
```
10
Lattice="-5.2580 3.0798 -2.3063 -3.3580 -5.5797 0.2047 -6.8304 0.5681 7.1279" Properties=species:S:1:pos:R:3 pbc="T T T"
Hg -7.8243 -2.8819 0.4724
Hg -5.4060 -0.4585 2.5095
Hg -7.1174 -1.3499 5.2209
Hg -8.6915 -3.9655 5.3168
Hg -10.0403 -1.4732 2.5168
Hg -5.3595 -4.3256 1.5535
Pd -7.2482 -3.1307 3.1409
Pd 0.0000 0.0000 0.0000
Cs -8.9947 1.7730 4.4679
Cs -7.4017 0.6249 -0.6970
```

Calculated values
magnetic moment: 0.00 μB/cell
space group: No. 119
crystal system: tetragonal
calculated formation energy: -71 kJ/mol of formula units